Arrangement 1

## LaRh2Cl (PBE)

Data for a geometry-optimized LaRh2Cl structure. Values from VASP.

```
&SYSTEM
  ibrav = 0, nat = 4, ntyp = 3
/
ATOMIC_SPECIES
Cl 35.45 Cl.upf
La 138.91 La.upf
Rh 102.91 Rh.upf
ATOMIC_POSITIONS angstrom
Cl -2.129 -1.645 0.267
La -2.807 -3.032 2.801
Rh -1.349 -2.758 5.039
Rh -0.686 -1.403 2.564
CELL_PARAMETERS angstrom
-3.472 1.358 -0.186
-0.107 -3.261 -1.814
-1.357 -2.774 5.068
```

=====

Arrangement 2

## LaRh2Cl (PBE)

Data for a geometry-optimized LaRh2Cl structure. Values from VASP.

```
&SYSTEM
  ibrav = 0, nat = 4, ntyp = 3
/
ATOMIC_SPECIES
Cl 35.45 Cl.upf
La 138.91 La.upf
Rh 102.91 Rh.upf
ATOMIC_POSITIONS angstrom
Cl -1.009 1.559 2.763
La 0.524 -0.671 3.218
Rh 0.000 0.000 0.000
Rh -2.120 -1.198 1.265
CELL_PARAMETERS angstrom
-3.652 1.032 0.810
-0.588 -3.429 1.721
1.635 2.086 4.715
```

=====

Arrangement 3

## LaRh2Cl (PBE)

Data for a geometry-optimized LaRh2Cl structure. Values from VASP.

```
&SYSTEM
  ibrav = 0, nat = 4, ntyp = 3
/
ATOMIC_SPECIES
Cl 35.45 Cl.upf
La 138.91 La.upf
Rh 102.91 Rh.upf
ATOMIC_POSITIONS angstrom
Cl 3.075 -0.467 1.344
La 1.588 2.017 1.349
Rh 8.186 4.902 0.000
Rh 4.160 2.491 0.000
CELL_PARAMETERS angstrom
5.603 -0.020 -0.005
2.628 4.948 0.005
-3.568 -3.378 2.692
```

=====

The most stable arrangement is arrangement 3, and the next structure is 42 meV per atom less stable.

=====

Arrangement 1

## LaRh2Cl (PBE)

Data for a geometry-optimized LaRh2Cl structure. Values from VASP.

```
&SYSTEM
  ibrav = 0, nat = 4, ntyp = 3
/
ATOMIC_SPECIES
Cl 35.45 Cl.upf
La 138.91 La.upf
Rh 102.91 Rh.upf
ATOMIC_POSITIONS angstrom
Cl 4.794 2.768 1.957
La 2.397 1.384 0.979
Rh 0.000 0.000 0.000
Rh 7.191 4.152 2.936
CELL_PARAMETERS angstrom
4.794 0.000 0.000
2.397 4.152 0.000
2.397 1.384 3.914
```

=====

Arrangement 2

## LaRh2Cl (PBE)

Data for a geometry-optimized LaRh2Cl structure. Values from VASP.

```
&SYSTEM
  ibrav = 0, nat = 4, ntyp = 3
/
ATOMIC_SPECIES
Cl 35.45 Cl.upf
La 138.91 La.upf
Rh 102.91 Rh.upf
ATOMIC_POSITIONS angstrom
Cl 5.064 2.144 2.796
La 2.781 1.178 1.078
Rh 2.129 0.901 3.896
Rh 7.924 3.355 3.820
CELL_PARAMETERS angstrom
4.961 0.008 0.003
3.459 3.557 0.003
2.107 0.892 4.632
```

=====

Arrangement 3

## LaRh2Cl (PBE)

Data for a geometry-optimized LaRh2Cl structure. Values from VASP.

```
&SYSTEM
  ibrav = 0, nat = 4, ntyp = 3
/
ATOMIC_SPECIES
Cl 35.45 Cl.upf
Rh 102.91 Rh.upf
La 138.91 La.upf
ATOMIC_POSITIONS angstrom
Cl 0.000 0.000 0.000
Rh 1.679 1.679 1.679
Rh 5.038 5.038 5.038
La 3.359 3.359 3.359
CELL_PARAMETERS angstrom
0.000 3.359 3.359
3.359 0.000 3.359
3.359 3.359 0.000
```

=====

The most stable arrangement is arrangement 2, and the next structure is 215 meV per atom less stable.

=====

Arrangement 1

## LaRh2Cl (PBE)

Data for a geometry-optimized LaRh2Cl structure. Values from VASP.

```
&SYSTEM
  ibrav = 0, nat = 8, ntyp = 3
/
ATOMIC_SPECIES
Cl 35.45 Cl.upf
Rh 102.91 Rh.upf
La 138.91 La.upf
ATOMIC_POSITIONS angstrom
Cl -0.306 1.856 -2.895
Cl -3.889 0.691 -5.321
Rh -2.321 2.377 -1.852
Rh -1.989 0.665 -3.977
Rh -5.978 1.659 -4.976
Rh -6.340 3.754 -6.719
La 0.000 0.000 0.000
La -4.425 3.537 -3.441
CELL_PARAMETERS angstrom
-0.842 4.701 -1.014
0.229 -0.989 -4.776
-7.701 0.516 -2.972
```

=====

Arrangement 2

## LaRh2Cl (PBE)

Data for a geometry-optimized LaRh2Cl structure. Values from VASP.

```
&SYSTEM
  ibrav = 0, nat = 4, ntyp = 3
/
ATOMIC_SPECIES
Cl 35.45 Cl.upf
La 138.91 La.upf
Rh 102.91 Rh.upf
ATOMIC_POSITIONS angstrom
Cl 9.608 2.875 1.759
La 14.594 4.367 2.672
Rh 19.572 5.857 3.583
Rh 5.839 1.747 1.069
CELL_PARAMETERS angstrom
7.416 0.033 0.020
6.215 4.046 0.020
6.215 1.860 3.593
```

=====

The most stable arrangement is arrangement 2, and the next structure is 306 meV per atom less stable.

=====

Arrangement 1

## LaRh2Cl (PBE)

Data for a geometry-optimized LaRh2Cl structure. Values from VASP.

```
&SYSTEM
  ibrav = 0, nat = 4, ntyp = 3
/
ATOMIC_SPECIES
Cl 35.45 Cl.upf
La 138.91 La.upf
Rh 102.91 Rh.upf
ATOMIC_POSITIONS angstrom
Cl 0.000 2.373 4.111
La 1.771 4.243 5.670
Rh 0.000 0.218 0.268
Rh 1.771 2.028 0.833
CELL_PARAMETERS angstrom
3.542 0.000 0.000
0.000 3.546 -0.205
0.000 2.362 7.460
```

=====

Arrangement 2

## LaRh2Cl (PBE)

Data for a geometry-optimized LaRh2Cl structure. Values from VASP.

```
&SYSTEM
  ibrav = 0, nat = 4, ntyp = 3
/
ATOMIC_SPECIES
Cl 35.45 Cl.upf
La 138.91 La.upf
Rh 102.91 Rh.upf
ATOMIC_POSITIONS angstrom
Cl 1.959 1.959 1.380
La 1.959 1.959 4.140
Rh 0.000 0.000 5.439
Rh 0.000 0.000 2.841
CELL_PARAMETERS angstrom
3.917 0.000 0.000
0.000 3.917 0.000
0.000 0.000 5.520
```

=====

The most stable arrangement is arrangement 1, and the next structure is 389 meV per atom less stable.

=====

Arrangement 1

## LaRh2Cl (PBE)

Data for a geometry-optimized LaRh2Cl structure. Values from VASP.

```
&SYSTEM
  ibrav = 0, nat = 4, ntyp = 3
/
ATOMIC_SPECIES
Cl 35.45 Cl.upf
La 138.91 La.upf
Rh 102.91 Rh.upf
ATOMIC_POSITIONS angstrom
Cl 1.692 0.000 2.331
La 0.000 2.378 2.331
Rh 0.000 0.000 0.000
Rh 1.692 2.378 0.000
CELL_PARAMETERS angstrom
3.383 0.000 0.000
0.000 4.756 0.000
0.000 0.000 4.661
```

=====

Arrangement 2

## LaRh2Cl (PBE)

Data for a geometry-optimized LaRh2Cl structure. Values from VASP.

```
&SYSTEM
  ibrav = 0, nat = 4, ntyp = 3
/
ATOMIC_SPECIES
Cl 35.45 Cl.upf
La 138.91 La.upf
Rh 102.91 Rh.upf
ATOMIC_POSITIONS angstrom
Cl 7.066 2.680 3.224
La 2.355 0.893 1.075
Rh 8.986 3.409 0.059
Rh 4.903 1.860 2.058
CELL_PARAMETERS angstrom
5.252 -0.004 -0.016
3.928 3.486 -0.016
0.242 0.092 4.331
```

=====

The most stable arrangement is arrangement 2, and the next structure is 68 meV per atom less stable.

=====

Arrangement 1

## LaRh2Cl (PBE)

Data for a geometry-optimized LaRh2Cl structure. Values from VASP.

```
&SYSTEM
  ibrav = 0, nat = 4, ntyp = 3
/
ATOMIC_SPECIES
Cl 35.45 Cl.upf
La 138.91 La.upf
Rh 102.91 Rh.upf
ATOMIC_POSITIONS angstrom
Cl 3.508 1.190 1.500
La -0.562 3.661 1.500
Rh 0.000 0.000 0.000
Rh 1.494 2.460 0.056
CELL_PARAMETERS angstrom
5.563 -0.011 0.056
-2.576 4.931 0.056
1.452 2.391 2.945
```

=====

Arrangement 2

## LaRh2Cl (PBE)

Data for a geometry-optimized LaRh2Cl structure. Values from VASP.

```
&SYSTEM
  ibrav = 0, nat = 4, ntyp = 3
/
ATOMIC_SPECIES
Cl 35.45 Cl.upf
La 138.91 La.upf
Rh 102.91 Rh.upf
ATOMIC_POSITIONS angstrom
Cl 3.819 2.436 0.000
La 2.686 0.000 1.444
Rh 0.000 0.000 0.000
Rh 1.133 2.435 1.444
CELL_PARAMETERS angstrom
5.372 0.000 0.000
2.266 4.871 0.000
-3.819 -2.436 2.888
```

=====

Arrangement 3

## LaRh2Cl (PBE)

Data for a geometry-optimized LaRh2Cl structure. Values from VASP.

```
&SYSTEM
  ibrav = 0, nat = 4, ntyp = 3
/
ATOMIC_SPECIES
Cl 35.45 Cl.upf
La 138.91 La.upf
Rh 102.91 Rh.upf
ATOMIC_POSITIONS angstrom
Cl 0.000 0.000 4.289
La 1.773 1.774 5.951
Rh 0.000 0.000 0.277
Rh 1.773 1.774 0.940
CELL_PARAMETERS angstrom
3.546 0.000 0.000
0.000 3.547 0.000
0.000 0.000 7.638
```

=====

The most stable arrangement is arrangement 3, and the next structure is 220 meV per atom less stable.